Entry from the Alexandria database: CrPtF2 after structural relaxation (PBE+U).

Cell: 2.8637 2.8637 24.8806 Å, 90.00 90.00 120.00°
Space group R-3m (No. 166, hexagonal axes)
Inequivalent atoms, fractional coordinates:
Cr: 0.0000 0.0000 0.0000 [3 per cell]
Pt: 0.0000 0.0000 0.5000 [3 per cell]
F: 0.0000 0.0000 0.0758 [6 per cell]

## Properties
Electronic total energy ... -59.6 eV/cell